Computed, not measured: crystalline Th2Ni3As4Ir at its relaxed geometry at the GGA-PBE level of DFT.

Results
For the calculated formation energy, the calculation gives -76.4 kJ per mole of atoms. For the total moment, the calculation gives 0.00 μB/f.u. As for the symmetry: P-4m2, No. 115. The calculation puts the calculated total energy at -67.6 eV for the cell shown.

Cell lengths 4.2990, 4.2990, 9.4520 Å; angles 90.00, 90.00, 90.00 degrees
With the nearest neighbours (Å) after each atom.
Fractional coordinates of all 10 atoms:
Th (0.0000, 0.5000, 0.2485)  7 Ni 3.18-3.47, 2 Ir 3.18, 8 As 3.20-3.22
Th (0.5000, 0.0000, 0.7515)  7 Ni 3.18-3.47, 2 Ir 3.18, 8 As 3.20-3.22
Ni (0.0000, 0.0000, 0.0000)  4 As 2.51
Ni (0.0000, 0.5000, 0.6158)  5 As 2.34-2.41
Ni (0.5000, 0.0000, 0.3842)  5 As 2.34-2.41
As (0.0000, 0.0000, 0.5000)  4 Ni 2.41
As (0.0000, 0.5000, 0.8638)  3 Ni 2.34-2.51, 2 Ir 2.51
As (0.5000, 0.0000, 0.1362)  3 Ni 2.34-2.51, 2 Ir 2.51
As (0.5000, 0.5000, 0.5000)  4 Ni 2.41
Ir (0.5000, 0.5000, 0.0000)  4 As 2.51

Computed, not measured: crystalline HoTm3Zn2 at its relaxed geometry at the GGA-PBE level of DFT.

Results
For the calculated formation energy, the calculation gives -22.9 kJ per mole of atoms. For the total moment, the calculation gives 0.00 μB/f.u. As for the symmetry: Pmc2_1, No. 26. The calculation puts the calculated total energy at -43.9 eV for the cell shown. For the polymorph energy (0 for the lowest one), the calculation gives 0.00 kJ per mole of atoms.

Cell lengths 4.9414, 8.9484, 6.7216 Å; angles 90.00, 90.00, 90.00 degrees
With the nearest neighbours (Å) after each atom.
Fractional coordinates of all 12 atoms:
Ho (0.0000, 0.0563, 0.0000)  3 Zn 3.01-3.09
Ho (0.0000, 0.9437, 0.5000)  3 Zn 3.01-3.09
Tm (0.0000, 0.3258, 0.6486)  4 Zn 2.91-3.02
Tm (0.0000, 0.6742, 0.1486)  4 Zn 2.91-3.02
Tm (0.5000, 0.1773, 0.3171)  4 Zn 2.94-3.01
Tm (0.5000, 0.4436, 0.9645)  3 Zn 3.00-3.09
Tm (0.5000, 0.5564, 0.4645)  3 Zn 3.00-3.09
Tm (0.5000, 0.8227, 0.8171)  4 Zn 2.94-3.01
Zn (0.0000, 0.3523, 0.2118)  6 Tm 2.91-3.09, 1 Ho 3.01
Zn (0.0000, 0.6477, 0.7118)  6 Tm 2.91-3.09, 1 Ho 3.01
Zn (0.5000, 0.1484, 0.7530)  5 Tm 2.94-3.02, 2 Ho 3.09
Zn (0.5000, 0.8516, 0.2530)  5 Tm 2.94-3.02, 2 Ho 3.09

Computed, not measured: crystalline CaPm4Er at its relaxed geometry at the GGA-PBE level of DFT.

Results
For the calculated formation energy, the calculation gives 4.5 kJ per mole of atoms. For the total moment, the calculation gives 0.00 μB/f.u. As for the symmetry: P2/m, No. 10. The calculation puts the calculated total energy at -25.3 eV for the cell shown. For the polymorph energy (0 for the lowest one), the calculation gives 0.00 kJ per mole of atoms.

Cell lengths 3.6202, 5.1845, 11.0498 Å; angles 90.00, 90.14, 90.00 degrees
With the nearest neighbours (Å) after each atom.
Fractional coordinates of all 6 atoms:
Ca (0.0000, 0.0000, 0.0000)  2 Ca 3.62, 10 Pm 3.75-3.76
Pm (0.9998, 0.0000, 0.3407)  7 Pm 3.52-3.62, 4 Er 3.62, 1 Ca 3.76
Pm (0.0002, 0.0000, 0.6593)  7 Pm 3.52-3.62, 4 Er 3.62, 1 Ca 3.76
Pm (0.4997, 0.5000, 0.1823)  1 Er 3.51, 6 Pm 3.61-3.62, 4 Ca 3.75
Pm (0.5003, 0.5000, 0.8177)  1 Er 3.51, 6 Pm 3.61-3.62, 4 Ca 3.75
Er (0.5000, 0.5000, 0.5000)  10 Pm 3.51-3.62, 2 Er 3.62

Computed, not measured: crystalline MgScAlTc at its relaxed geometry at the GGA-PBE level of DFT.

Results
For the calculated formation energy, the calculation gives -12.1 kJ per mole of atoms. For the total moment, the calculation gives 0.00 μB/f.u. As for the symmetry: F-43m, No. 216. The calculation puts the calculated total energy at -90.1 eV for the cell shown.

Cell lengths 6.4980, 6.4980, 6.4980 Å; angles 90.00, 90.00, 90.00 degrees
With the nearest neighbours (Å) after each atom.
Fractional coordinates of all 16 atoms:
Mg (0.0000, 0.0000, 0.0000)  4 Sc 2.81, 4 Al 2.81
Mg (0.0000, 0.5000, 0.5000)  4 Sc 2.81, 4 Al 2.81
Mg (0.5000, 0.0000, 0.5000)  4 Sc 2.81, 4 Al 2.81
Mg (0.5000, 0.5000, 0.0000)  4 Sc 2.81, 4 Al 2.81
Sc (0.2500, 0.2500, 0.2500)  4 Tc 2.81, 4 Mg 2.81
Sc (0.2500, 0.7500, 0.7500)  4 Tc 2.81, 4 Mg 2.81
Sc (0.7500, 0.2500, 0.7500)  4 Tc 2.81, 4 Mg 2.81
Sc (0.7500, 0.7500, 0.2500)  4 Tc 2.81, 4 Mg 2.81
Al (0.2500, 0.2500, 0.7500)  4 Tc 2.81, 4 Mg 2.81
Al (0.2500, 0.7500, 0.2500)  4 Tc 2.81, 4 Mg 2.81
Al (0.7500, 0.2500, 0.2500)  4 Tc 2.81, 4 Mg 2.81
Al (0.7500, 0.7500, 0.7500)  4 Tc 2.81, 4 Mg 2.81
Tc (0.0000, 0.0000, 0.5000)  4 Al 2.81, 4 Sc 2.81
Tc (0.0000, 0.5000, 0.0000)  4 Al 2.81, 4 Sc 2.81
Tc (0.5000, 0.0000, 0.0000)  4 Al 2.81, 4 Sc 2.81
Tc (0.5000, 0.5000, 0.5000)  4 Al 2.81, 4 Sc 2.81

Computed, not measured: crystalline VZnPd at its relaxed geometry at the GGA-PBE level of DFT.

Results
For the calculated formation energy, the calculation gives -16.9 kJ per mole of atoms. For the total moment, the calculation gives 0.00 μB/f.u. As for the symmetry: P4/nmm, No. 129. The calculation puts the calculated total energy at -32.2 eV for the cell shown.

Cell lengths 3.6115, 3.6115, 6.7594 Å; angles 90.00, 90.00, 90.00 degrees
With the nearest neighbours (Å) after each atom.
Fractional coordinates of all 6 atoms:
V (0.2500, 0.7500, 0.0000)  4 V 2.55, 4 Zn 2.75, 4 Pd 2.79
V (0.7500, 0.2500, 0.0000)  4 V 2.55, 4 Zn 2.75, 4 Pd 2.79
Zn (0.2500, 0.2500, 0.3065)  5 Pd 2.55-2.56, 4 V 2.75
Zn (0.7500, 0.7500, 0.6935)  5 Pd 2.55-2.56, 4 V 2.75
Pd (0.2500, 0.2500, 0.6850)  5 Zn 2.55-2.56, 4 V 2.79
Pd (0.7500, 0.7500, 0.3150)  5 Zn 2.55-2.56, 4 V 2.79

Computed, not measured: crystalline Pd2PbS at its relaxed geometry at the GGA-PBE level of DFT.

Results
The formation energy without anion corrections comes out at -22.5 kJ/mol of atoms. For the total moment, the calculation gives 0.00 μB/f.u. As for the symmetry: P-1, No. 2. The calculation puts the calculated total energy at -38.3 eV for the cell shown. For the polymorph energy (0 for the lowest one), the calculation gives 2.19 kJ per mole of atoms.

Cell lengths 4.0023, 6.3877, 7.0669 Å; angles 68.23, 73.73, 89.94 degrees
With the nearest neighbours (Å) after each atom.
Fractional coordinates of all 8 atoms:
Pd (0.0420, 0.2413, 0.4167)  2 S 2.38-2.62
Pd (0.2966, 0.4185, 0.9057)  2 S 2.38
Pd (0.7034, 0.5815, 0.0943)  2 S 2.38
Pd (0.9580, 0.7587, 0.5833)  2 S 2.38-2.62
Pb (0.3655, 0.9425, 0.7706)  6 Pd 2.85-3.19, 1 S 3.08
Pb (0.6345, 0.0575, 0.2294)  6 Pd 2.85-3.19, 1 S 3.08
S (0.1247, 0.6441, 0.2525)  4 Pd 2.38-2.62
S (0.8753, 0.3559, 0.7475)  4 Pd 2.38-2.62

Computed, not measured: crystalline BaPm2Tl3 at its relaxed geometry at the GGA-PBE level of DFT.

Results
For the calculated formation energy, the calculation gives -36.7 kJ per mole of atoms. For the total moment, the calculation gives 0.00 μB/f.u. As for the symmetry: P4/mmm, No. 123. The calculation puts the calculated total energy at -20.8 eV for the cell shown.

Cell lengths 3.9711, 3.9711, 12.3009 Å; angles 90.00, 90.00, 90.00 degrees
With the nearest neighbours (Å) after each atom.
Fractional coordinates of all 6 atoms:
Ba (0.0000, 0.0000, 0.0000)  8 Tl 3.71, 4 Ba 3.97
Pm (0.0000, 0.0000, 0.3441)  8 Tl 3.34-3.40
Pm (0.0000, 0.0000, 0.6559)  8 Tl 3.34-3.40
Tl (0.5000, 0.5000, 0.1970)  4 Pm 3.34, 4 Ba 3.71, 1 Tl 3.73
Tl (0.5000, 0.5000, 0.5000)  8 Pm 3.40, 2 Tl 3.73
Tl (0.5000, 0.5000, 0.8030)  4 Pm 3.34, 4 Ba 3.71, 1 Tl 3.73

Computed, not measured: crystalline PaB2PtRh5 at its relaxed geometry at the GGA-PBE level of DFT.

Results
For the calculated formation energy, the calculation gives -29.0 kJ per mole of atoms. For the total moment, the calculation gives 0.00 μB/f.u. As for the symmetry: P4/mmm, No. 123. The calculation puts the calculated total energy at -68.4 eV for the cell shown.

Cell lengths 4.1586, 4.1586, 7.6741 Å; angles 90.00, 90.00, 90.00 degrees
With the nearest neighbours (Å) after each atom.
Fractional coordinates of all 9 atoms:
Pa (0.0000, 0.0000, 0.0000)  12 Rh 2.90-2.94
B (0.5000, 0.5000, 0.3019)  5 Rh 2.10-2.32
B (0.5000, 0.5000, 0.6981)  5 Rh 2.10-2.32
Pt (0.0000, 0.0000, 0.5000)  8 Rh 2.76
Rh (0.0000, 0.5000, 0.2628)  2 B 2.10
Rh (0.0000, 0.5000, 0.7372)  2 B 2.10
Rh (0.5000, 0.0000, 0.2628)  2 B 2.10
Rh (0.5000, 0.0000, 0.7372)  2 B 2.10
Rh (0.5000, 0.5000, 0.0000)  2 B 2.32

calculated total energy of number 7 (BaPm2Tl3)? -20.8 eV for the cell shown